! NiTe2F, relaxed, DFT GGA+U; values from VASP
&SYSTEM
  ibrav = 0, nat = 4, ntyp = 3
/
ATOMIC_SPECIES
Te 127.60 Te.upf
Ni 58.69 Ni.upf
F 19.00 F.upf
CELL_PARAMETERS angstrom
6.658 -0.690 3.521
7.296 -1.991 -0.060
7.315 1.807 0.647
ATOMIC_POSITIONS crystal
Te 0.108 0.108 0.108
Te 0.892 0.892 0.892
Ni 0.500 0.500 0.500
F 0.000 0.000 0.000
! **E**: -3.03 eV per atom
! **Total magnetization**: 0.00 μB per formula unit